Entry 1:
An optimized crystal structure of KCeF4. Source: Alexandria, functional PBE.

E_tot ... -6.04 eV per atom
Space-group type ... P4/mmm, No. 123
Spin magnetization ... 1.0 μB per formula unit
Raw formation energy ... -3624 meV/atom

Lattice parameters (Å, degrees): 4.069 4.069 6.261 90.00 90.00 90.00
Atoms (fractional coordinates):
K  0.000  0.000  0.000
Ce  0.500  0.500  0.500
F  0.500  0.000  0.712
F  0.000  0.500  0.288
F  0.500  0.000  0.288
F  0.000  0.500  0.712

***

Entry 2:
An optimized crystal structure of BeTl2Re. Source: Alexandria, functional PBE.

E_tot ... -4.09 eV per atom
Space-group type ... Pmmm, No. 47
Spin magnetization ... 0.0 μB per formula unit
Formation energy from the elements ... 1.133 eV/atom
Relative energy among the computed polymorphs ... 541.5 meV per atom

Lattice parameters (Å, degrees): 2.988 5.352 4.803 90.00 90.00 90.00
Atoms (fractional coordinates):
Re  0.000  0.500  0.500
Tl  0.000  0.000  0.000
Tl  0.500  0.500  0.000
Be  0.500  0.000  0.500

***

Entry 3:
An optimized crystal structure of Pm3ThNi. Source: Alexandria, functional PBE.

E_tot ... -5.40 eV per atom
Space-group type ... Pm-3m, No. 221
Spin magnetization ... 0.0 μB per formula unit
Formation energy from the elements ... 0.094 eV/atom

Lattice parameters (Å, degrees): 5.413 5.413 5.413 90.00 90.00 90.00
Atoms (fractional coordinates):
Ni  0.000  0.000  0.000
Th  0.500  0.500  0.500
Pm  0.000  0.500  0.000
Pm  0.000  0.000  0.500
Pm  0.500  0.000  0.000

***

DOS at the Fermi energy values (in states/eV/cell) by entry order: 8.57; 2.04; 9.02.